A plane-wave DFT calculation with PBE-GGA was carried out for a relaxed structure of Th2ScGa4Pd3.

Formation energy in eV/atom: -0.72
Volume in Å³ per cell: 202.6
Crystal system: tetragonal

Unit cell a=4.1999 b=4.1999 c=11.4852 alpha=90.00 beta=90.00 gamma=90.00
Fractional coordinates of all 10 atoms:
Th  0.0000  0.5000  0.2324
Th  0.5000  0.0000  0.7676
Sc  0.0000  0.0000  0.5000
Ga  0.0000  0.0000  0.0000
Ga  0.0000  0.5000  0.6533
Ga  0.5000  0.0000  0.3467
Ga  0.5000  0.5000  0.0000
Pd  0.0000  0.5000  0.8700
Pd  0.5000  0.0000  0.1300
Pd  0.5000  0.5000  0.5000

=====

A plane-wave DFT calculation with PBE-GGA was carried out for a relaxed structure of ScTi2GaPd.

Formation energy in eV/atom: 0.98
Volume in Å³ per cell: 100.1
Crystal system: tetragonal

Unit cell a=4.4971 b=4.4971 c=4.9485 alpha=90.00 beta=90.00 gamma=90.00
Fractional coordinates of all 5 atoms:
Sc  0.0000  0.0000  0.0000
Ti  0.0000  0.5000  0.0000
Ti  0.5000  0.0000  0.0000
Ga  0.0000  0.0000  0.5000
Pd  0.5000  0.5000  0.5000

=====

A plane-wave DFT calculation with PBE-GGA was carried out for a relaxed structure of Tm2Sc2Ga4Pd.

Formation energy in eV/atom: -0.46
Volume in Å³ per cell: 185.2
Crystal system: tetragonal

Unit cell a=6.4145 b=6.4145 c=6.4145 alpha=120.50 beta=120.50 gamma=89.13
Fractional coordinates of all 9 atoms:
Tm  0.2500  0.7500  0.5000
Tm  0.7500  0.2500  0.5000
Sc  0.2220  0.2220  0.0000
Sc  0.7780  0.7780  0.0000
Ga  0.2200  0.2200  0.4401
Ga  0.2200  0.7800  0.0000
Ga  0.7800  0.2200  0.0000
Ga  0.7800  0.7800  0.5599
Pd  0.5000  0.5000  0.0000